Compound: AcPrSmY
Source: Alexandria via LeMat-Bulk
Functional: PBE-GGA
Structure: optimized geometry

Computed properties:
Its energy above the most stable polymorph in this dataset is 1.67 kcal/mol of atoms. Its formation enthalpy at 0 K is 10.7 kJ/mol of atoms. As for the space group: F-43m, No. 216.

```
AcPrSmY
1.0
8.378 0.000 0.000
0.000 8.378 0.000
0.000 0.000 8.378
Ac Pr Sm Y
4 4 4 4
Direct
0.000 0.000 0.000
0.000 0.500 0.500
0.500 0.000 0.500
0.500 0.500 0.000
0.000 0.000 0.500
0.000 0.500 0.000
0.500 0.000 0.000
0.500 0.500 0.500
0.250 0.250 0.250
0.250 0.750 0.750
0.750 0.250 0.750
0.750 0.750 0.250
0.250 0.250 0.750
0.250 0.750 0.250
0.750 0.250 0.250
0.750 0.750 0.750
```

=====

Compound: Rb12BaO7
Source: Alexandria via LeMat-Bulk
Functional: PBE-GGA
Structure: optimized geometry

Computed properties:
The calculation puts the raw formation energy at -1.03 eV/atom. As for the space group: R-3, No. 148.

```
Rb12BaO7
1.0
7.354 4.246 3.437
-7.354 4.246 3.437
0.000 -8.491 3.437
Rb Ba O
12 1 7
Direct
0.063 0.335 0.138
0.138 0.063 0.335
0.183 0.692 0.570
0.308 0.430 0.817
0.335 0.138 0.063
0.430 0.817 0.308
0.570 0.183 0.692
0.665 0.862 0.937
0.692 0.570 0.183
0.817 0.308 0.430
0.862 0.937 0.665
0.937 0.665 0.862
0.500 0.500 0.500
0.000 0.000 0.000
0.164 0.378 0.477
0.378 0.477 0.164
0.477 0.164 0.378
0.523 0.836 0.622
0.622 0.523 0.836
0.836 0.622 0.523
```

=====

Compound: K2BaSr
Source: Alexandria via LeMat-Bulk
Functional: PBE-GGA
Structure: optimized geometry

Computed properties:
Its formation enthalpy at 0 K is 12.1 kJ/mol of atoms. As for the space group: Imm2, No. 44.

```
K2BaSr
1.0
4.802 0.000 0.000
0.000 7.432 0.000
0.000 0.000 14.541
K Ba Sr
4 2 2
Direct
0.000 0.000 0.000
0.000 0.500 0.267
0.500 0.000 0.767
0.500 0.500 0.500
0.000 0.000 0.508
0.500 0.500 0.008
0.000 0.500 0.750
0.500 0.000 0.250
```

=====

Compound: Ti4InSe8
Source: Alexandria via LeMat-Bulk
Functional: PBE-GGA
Structure: optimized geometry

Computed properties:
The calculation puts the raw formation energy at -1.06 eV/atom. Its energy above the most stable polymorph in this dataset is 0.00 kcal/mol of atoms. As for the space group: R-3m, No. 166.

```
Ti4InSe8
1.0
3.560 2.055 7.674
-3.560 2.055 7.674
0.000 -4.111 7.674
Ti In Se
4 1 8
Direct
0.000 0.000 0.000
0.000 0.500 0.500
0.500 0.000 0.500
0.500 0.500 0.000
0.500 0.500 0.500
0.234 0.234 0.736
0.234 0.736 0.234
0.264 0.766 0.766
0.266 0.266 0.266
0.734 0.734 0.734
0.736 0.234 0.234
0.766 0.264 0.766
0.766 0.766 0.264
```

=====

Compound: AcHoPSe
Source: Alexandria via LeMat-Bulk
Functional: PBE-GGA
Structure: optimized geometry

Computed properties:
The calculation puts the raw formation energy at -1.62 eV/atom. As for the space group: R3m, No. 160.

```
AcHoPSe
1.0
4.132 0.000 0.000
-2.066 3.579 0.000
0.000 0.000 22.264
Ac Ho P Se
3 3 3 3
Direct
0.000 0.000 0.000
0.333 0.667 0.667
0.667 0.333 0.333
0.000 0.000 0.184
0.333 0.667 0.851
0.667 0.333 0.518
0.000 0.000 0.584
0.333 0.667 0.251
0.667 0.333 0.918
0.000 0.000 0.432
0.333 0.667 0.099
0.667 0.333 0.765
```

=====

Compound: Y6Zn5Ga
Source: Alexandria via LeMat-Bulk
Functional: PBE-GGA
Structure: optimized geometry

Computed properties:
Its formation enthalpy at 0 K is -39.4 kJ/mol of atoms. As for the space group: Cmmm, No. 65.

```
Y6Zn5Ga
1.0
2.528 -7.601 0.000
2.528 7.601 0.000
0.000 0.000 7.175
Y Zn Ga
6 5 1
Direct
0.000 0.000 0.249
0.000 0.000 0.751
0.334 0.666 0.250
0.334 0.666 0.750
0.666 0.334 0.250
0.666 0.334 0.750
0.167 0.833 0.500
0.170 0.830 0.000
0.500 0.500 0.500
0.830 0.170 0.000
0.833 0.167 0.500
0.500 0.500 0.000
```

=====

Compound: LiZn4Pd7
Source: Alexandria via LeMat-Bulk
Functional: PBE-GGA
Structure: optimized geometry

Computed properties:
Its formation enthalpy at 0 K is -29.8 kJ/mol of atoms. As for the space group: C2/m, No. 12.

```
LiZn4Pd7
1.0
6.078 -2.199 0.000
6.078 2.199 0.000
-5.515 0.000 7.114
Li Zn Pd
1 4 7
Direct
0.000 0.000 0.000
0.292 0.292 0.657
0.426 0.426 0.214
0.574 0.574 0.786
0.708 0.708 0.343
0.071 0.071 0.323
0.215 0.215 0.865
0.351 0.351 0.419
0.500 0.500 0.000
0.649 0.649 0.581
0.785 0.785 0.135
0.929 0.929 0.677
```

=====

Compound: YW3
Source: Alexandria via LeMat-Bulk
Functional: PBE-GGA
Structure: optimized geometry

Computed properties:
Its energy above the most stable polymorph in this dataset is 3.74 kcal/mol of atoms. Its formation enthalpy at 0 K is 53.1 kJ/mol of atoms. As for the space group: Pmmn, No. 59.

```
YW3
1.0
4.418 0.000 0.000
0.000 5.581 0.000
0.000 0.000 6.858
Y W
2 6
Direct
0.250 0.250 0.070
0.750 0.750 0.930
0.250 0.511 0.641
0.250 0.750 0.308
0.250 0.989 0.641
0.750 0.011 0.359
0.750 0.250 0.692
0.750 0.489 0.359
```

=====

Compound: Tl2ZnTe2O6
Source: Alexandria via LeMat-Bulk
Functional: PBE-GGA
Structure: optimized geometry

Computed properties:
The calculation puts the raw formation energy at -0.94 eV/atom. As for the space group: C2/m, No. 12.

```
Tl2ZnTe2O6
1.0
4.512 -3.113 0.000
4.512 3.113 0.000
-2.233 0.000 7.369
Tl Zn Te O
2 1 2 6
Direct
0.207 0.207 0.167
0.793 0.793 0.833
0.000 0.000 0.500
0.394 0.394 0.726
0.606 0.606 0.274
0.229 0.229 0.508
0.243 0.710 0.294
0.290 0.757 0.706
0.710 0.243 0.294
0.757 0.290 0.706
0.771 0.771 0.492
```

=====

Compound: Pd2PtRh3
Source: Alexandria via LeMat-Bulk
Functional: PBE-GGA
Structure: optimized geometry

Computed properties:
Its formation enthalpy at 0 K is 3.1 kJ/mol of atoms. As for the space group: P-1, No. 2.

```
Pd2PtRh3
1.0
4.779 0.000 0.000
0.801 6.102 0.000
0.787 0.511 6.092
Pd Pt Rh
4 2 6
Direct
0.123 0.290 0.459
0.370 0.876 0.373
0.630 0.124 0.627
0.877 0.710 0.541
0.379 0.543 0.713
0.621 0.457 0.287
0.119 0.628 0.117
0.130 0.958 0.803
0.372 0.208 0.040
0.628 0.792 0.960
0.870 0.042 0.197
0.881 0.372 0.883
```

=====

Compound: Th4P2PtS
Source: Alexandria via LeMat-Bulk
Functional: PBE-GGA
Structure: optimized geometry

Computed properties:
The calculation puts the raw formation energy at -1.51 eV/atom. As for the space group: P2/m, No. 10.

```
Th4P2PtS
1.0
7.201 0.000 0.000
0.000 4.070 0.000
-2.410 0.000 6.871
Th P Pt S
4 2 1 1
Direct
0.248 0.000 0.251
0.251 0.500 0.743
0.749 0.500 0.257
0.752 0.000 0.749
0.000 0.000 0.500
0.500 0.500 0.500
0.000 0.500 0.000
0.500 0.000 0.000
```

=====

Compound: PuCuAsSe
Source: Alexandria via LeMat-Bulk
Functional: PBE-GGA
Structure: optimized geometry

Computed properties:
The calculation puts the raw formation energy at -0.72 eV/atom. As for the space group: P4/nmm, No. 129.

```
PuCuAsSe
1.0
4.081 0.000 0.000
0.000 4.081 0.000
0.000 0.000 9.305
Pu Cu As Se
2 2 2 2
Direct
0.250 0.250 0.232
0.750 0.750 0.768
0.250 0.750 0.500
0.750 0.250 0.500
0.250 0.250 0.661
0.750 0.750 0.339
0.250 0.750 0.000
0.750 0.250 0.000
```

=====

Number 1: magnetization 0.000 μB/f.u., calculated total energy -78.51 eV for the cell shown. Number 2: magnetization 0.425 μB/f.u., calculated total energy -68.90 eV for the cell shown. Number 3: magnetization 0.000 μB/f.u., calculated total energy -10.60 eV for the cell shown. Number 4: magnetization 0.000 μB/f.u., calculated total energy -75.95 eV for the cell shown. Number 5: magnetization 0.000 μB/f.u., calculated total energy -72.20 eV for the cell shown. Number 6: magnetization 0.001 μB/f.u., calculated total energy -53.09 eV for the cell shown. Number 7: magnetization 0.000 μB/f.u., calculated total energy -47.07 eV for the cell shown. Number 8: magnetization 0.000 μB/f.u., calculated total energy -86.25 eV for the cell shown. Number 9: magnetization 0.000 μB/f.u., calculated total energy -52.35 eV for the cell shown. Number 10: magnetization 0.000 μB/f.u., calculated total energy -76.58 eV for the cell shown. Number 11: magnetization 0.000 μB/f.u., calculated total energy -62.73 eV for the cell shown. Number 12: magnetization 4.937 μB/f.u., calculated total energy -58.89 eV for the cell shown.